## ScCr2Au (GGA-PBE)

Data for a geometry-optimized ScCr2Au structure.

The structure belongs to space group Cmmm (No. 65); the cell edges are 5.3458, 8.5952 and 2.6938 Å and the angles 90.00°, 90.00° and 90.00°. The inequivalent atoms are Sc at (0.0000, 0.0000, 0.0000), Cr at (0.2500, 0.2500, 0.5000) and Au at (0.0000, 0.5000, 0.0000).

The value obtained for the formation energy from the elements is 1.7 eV/f.u. The crystal system is orthorhombic.

## LiMgPb (GGA-PBE)

Data for a geometry-optimized LiMgPb structure.

The structure belongs to space group Pnma (No. 62); the cell edges are 8.1737, 3.6231 and 9.5986 Å and the angles 90.00°, 90.00° and 90.00°. The inequivalent atoms are Li at (0.0617, 0.2500, 0.1530), Mg at (0.1137, 0.2500, 0.5967) and Pb at (0.2462, 0.2500, 0.8765).

The value obtained for the formation energy from the elements is -0.5 eV/f.u. The crystal system is orthorhombic.

## CrSiTeI2 (GGA-PBE)

Data for a geometry-optimized CrSiTeI2 structure.

The structure belongs to space group P4/mmm (No. 123); the cell edges are 5.3938, 5.3938 and 5.4301 Å and the angles 90.00°, 90.00° and 90.00°. The inequivalent atoms are Cr at (0.0000, 0.0000, 0.0000), Si at (0.5000, 0.5000, 0.5000), Te at (0.0000, 0.0000, 0.5000) and I at (0.0000, 0.5000, 0.0000).

Its formation energy from raw total energies is 265 kJ/mol of formula units. The crystal system is tetragonal.

One value per record, in order, for calculated total energy: -6.779; -2.584; -3.709 eV/atom.
One value per record, in order, for M_tot: 0.0; 0.0; 4.1 μB per formula unit.
One value per record, in order, for distance to the lowest polymorph of the same formula: 479; 6; 0 meV per atom.